This record from the Alexandria database describes a relaxed structure of PrSc2Cu. The functional is PBE.

```
data_PrSc2Cu
_cell_length_a 3.4869
_cell_length_b 3.4869
_cell_length_c 28.1875
_cell_angle_alpha 90.00
_cell_angle_beta 90.00
_cell_angle_gamma 120.00
_symmetry_space_group_name_H-M 'R -3 m'
_symmetry_Int_Tables_number 166
_symmetry_space_group_name_Hall '-R 3 2"'
loop_
_atom_site_label
_atom_site_type_symbol
_atom_site_fract_x
_atom_site_fract_y
_atom_site_fract_z
_atom_site_occupancy
Pr1 Pr 0.0000 0.0000 0.0000 1
Sc1 Sc 0.0000 0.0000 0.2308 1
Cu1 Cu 0.0000 0.0000 0.5000 1
```

Computed properties:
Energy relative to the lowest polymorph listed for this composition ... 0.143 eV/atom
Crystal system ... trigonal
Formation energy from the elements ... 0.063 eV/atom

This record from the Alexandria database describes a relaxed structure of CoSi4Mo. The functional is PBE.

```
data_CoSi4Mo
_cell_length_a 6.762
_cell_length_b 6.762
_cell_length_c 6.762
_cell_angle_alpha 90.00
_cell_angle_beta 90.00
_cell_angle_gamma 90.00
_symmetry_space_group_name_H-M 'F -4 3 m'
_symmetry_Int_Tables_number 216
_symmetry_space_group_name_Hall 'F -4 2 3'
loop_
_atom_site_label
_atom_site_type_symbol
_atom_site_fract_x
_atom_site_fract_y
_atom_site_fract_z
_atom_site_occupancy
Co1 Co 0.000 0.000 0.000 1
Si1 Si 0.125 0.125 0.625 1
Mo1 Mo 0.250 0.250 0.250 1
```

Computed properties:
Raw formation energy ... 2.22 eV/f.u.
Crystal system ... cubic

This record from the Alexandria database describes a relaxed structure of PrSiH. The functional is PBE.

```
data_PrSiH
_cell_length_a 4.213
_cell_length_b 3.973
_cell_length_c 6.482
_cell_angle_alpha 90.00
_cell_angle_beta 108.91
_cell_angle_gamma 90.00
_symmetry_space_group_name_H-M 'P 1 21/m 1'
_symmetry_Int_Tables_number 11
loop_
_symmetry_equiv_pos_as_xyz
'x,y,z'
'-x,-y,-z'
'-x,y+1/2,-z'
'x,-y+1/2,z'
loop_
_atom_site_label
_atom_site_type_symbol
_atom_site_fract_x
_atom_site_fract_y
_atom_site_fract_z
_atom_site_occupancy
Pr1 Pr 0.145 0.250 0.290 1
Si1 Si 0.445 0.250 0.890 1
H1 H 0.257 0.750 0.511 1
```

Computed properties:
Energy relative to the lowest polymorph listed for this composition ... 0.000 eV/atom
Crystal system ... monoclinic

This record from the Alexandria database describes a relaxed structure of Ca2Bi2Rh. The functional is PBE.

```
data_Ca2Bi2Rh
_cell_length_a 11.390
_cell_length_b 4.676
_cell_length_c 11.601
_cell_angle_alpha 90.00
_cell_angle_beta 116.68
_cell_angle_gamma 90.00
_symmetry_space_group_name_H-M 'C 1 2/m 1'
_symmetry_Int_Tables_number 12
loop_
_symmetry_equiv_pos_as_xyz
'x,y,z'
'-x,-y,-z'
'-x,y,-z'
'x,-y,z'
'x+1/2,y+1/2,z'
'-x+1/2,-y+1/2,-z'
'-x+1/2,y+1/2,-z'
'x+1/2,-y+1/2,z'
loop_
_atom_site_label
_atom_site_type_symbol
_atom_site_fract_x
_atom_site_fract_y
_atom_site_fract_z
_atom_site_occupancy
Ca1 Ca 0.001 0.000 0.335 1
Ca2 Ca 0.180 0.000 0.124 1
Bi1 Bi 0.028 0.500 0.873 1
Bi2 Bi 0.161 0.500 0.555 1
Rh1 Rh 0.217 0.500 0.337 1
```

Computed properties:
Energy relative to the lowest polymorph listed for this composition ... 0.000 eV/atom
Crystal system ... monoclinic
Formation energy from the elements ... -0.631 eV/atom

This record from the Alexandria database describes a relaxed structure of HfZrAl. The functional is PBE.

```
data_HfZrAl
_cell_length_a 4.8636
_cell_length_b 4.8636
_cell_length_c 2.9448
_cell_angle_alpha 90.00
_cell_angle_beta 90.00
_cell_angle_gamma 120.00
_symmetry_space_group_name_H-M 'P -6 m 2'
_symmetry_Int_Tables_number 187
_symmetry_space_group_name_Hall 'P -6 2'
loop_
_atom_site_label
_atom_site_type_symbol
_atom_site_fract_x
_atom_site_fract_y
_atom_site_fract_z
_atom_site_occupancy
Hf1 Hf 0.0000 0.0000 0.0000 1
Zr1 Zr 0.3333 0.6667 0.0000 1
Al1 Al 0.6667 0.3333 0.5000 1
```

Computed properties:
Energy relative to the lowest polymorph listed for this composition ... 0.294 eV/atom
Crystal system ... hexagonal
Formation energy from the elements ... -0.015 eV/atom

This record from the Alexandria database describes a relaxed structure of Tm4Al2In. The functional is PBE.

```
data_Tm4Al2In
_cell_length_a 4.9797
_cell_length_b 4.9797
_cell_length_c 27.4522
_cell_angle_alpha 90.00
_cell_angle_beta 90.00
_cell_angle_gamma 120.00
_symmetry_space_group_name_H-M 'R -3 m'
_symmetry_Int_Tables_number 166
_symmetry_space_group_name_Hall '-R 3 2"'
loop_
_atom_site_label
_atom_site_type_symbol
_atom_site_fract_x
_atom_site_fract_y
_atom_site_fract_z
_atom_site_occupancy
Tm1 Tm 0.0000 0.0000 0.1181 1
Tm2 Tm 0.0000 0.0000 0.2963 1
Al1 Al 0.0000 0.0000 0.4031 1
In1 In 0.0000 0.0000 0.5000 1
```

Computed properties:
Energy relative to the lowest polymorph listed for this composition ... 0.164 eV/atom
Crystal system ... trigonal
Formation energy from the elements ... -0.074 eV/atom

This record from the Alexandria database describes a relaxed structure of MnAg2Ir. The functional is PBE.

```
data_MnAg2Ir
_cell_length_a 2.869
_cell_length_b 4.685
_cell_length_c 9.642
_cell_angle_alpha 90.00
_cell_angle_beta 90.00
_cell_angle_gamma 90.00
_symmetry_space_group_name_H-M 'C m m m'
_symmetry_Int_Tables_number 65
_symmetry_space_group_name_Hall '-C 2 2'
loop_
_atom_site_label
_atom_site_type_symbol
_atom_site_fract_x
_atom_site_fract_y
_atom_site_fract_z
_atom_site_occupancy
Mn1 Mn 0.000 0.000 0.000 1
Ag1 Ag 0.000 0.500 0.245 1
Ir1 Ir 0.000 0.000 0.500 1
```

Computed properties:
Energy relative to the lowest polymorph listed for this composition ... 0.281 eV/atom
Crystal system ... orthorhombic
Formation energy from the elements ... 0.429 eV/atom

This record from the Alexandria database describes a relaxed structure of CeHg2Au. The functional is PBE.

```
data_CeHg2Au
_cell_length_a 3.1194
_cell_length_b 3.1194
_cell_length_c 34.5183
_cell_angle_alpha 90.00
_cell_angle_beta 90.00
_cell_angle_gamma 120.00
_symmetry_space_group_name_H-M 'R -3 m'
_symmetry_Int_Tables_number 166
_symmetry_space_group_name_Hall '-R 3 2"'
loop_
_atom_site_label
_atom_site_type_symbol
_atom_site_fract_x
_atom_site_fract_y
_atom_site_fract_z
_atom_site_occupancy
Ce1 Ce 0.0000 0.0000 0.0000 1
Hg1 Hg 0.0000 0.0000 0.0930 1
Au1 Au 0.0000 0.0000 0.5000 1
```

Computed properties:
Crystal system ... trigonal
Formation energy from the elements ... 0.151 eV/atom

This record from the Alexandria database describes a relaxed structure of Tb12Hg5Pd3. The functional is PBE.

```
data_Tb12Hg5Pd3
_cell_length_a 17.234
_cell_length_b 17.234
_cell_length_c 17.234
_cell_angle_alpha 90.00
_cell_angle_beta 90.00
_cell_angle_gamma 90.00
_symmetry_space_group_name_H-M 'I a -3 d'
_symmetry_Int_Tables_number 230
_symmetry_space_group_name_Hall '-I 4bd 2c 3'
loop_
_atom_site_label
_atom_site_type_symbol
_atom_site_fract_x
_atom_site_fract_y
_atom_site_fract_z
_atom_site_occupancy
Tb1 Tb 0.017 0.084 0.649 1
Hg1 Hg 0.000 0.000 0.000 1
Hg2 Hg 0.000 0.250 0.375 1
Pd1 Pd 0.000 0.250 0.125 1
```

Computed properties:
Crystal system ... cubic
Formation energy from the elements ... -0.040 eV/atom

This record from the Alexandria database describes a relaxed structure of Tl2PtCl8. The functional is PBE.

```
data_Tl2PtCl8
_cell_length_a 13.509
_cell_length_b 6.821
_cell_length_c 9.263
_cell_angle_alpha 90.00
_cell_angle_beta 106.83
_cell_angle_gamma 90.00
_symmetry_space_group_name_H-M 'C 1 2/m 1'
_symmetry_Int_Tables_number 12
loop_
_symmetry_equiv_pos_as_xyz
'x,y,z'
'-x,-y,-z'
'-x,y,-z'
'x,-y,z'
'x+1/2,y+1/2,z'
'-x+1/2,-y+1/2,-z'
'-x+1/2,y+1/2,-z'
'x+1/2,-y+1/2,z'
loop_
_atom_site_label
_atom_site_type_symbol
_atom_site_fract_x
_atom_site_fract_y
_atom_site_fract_z
_atom_site_occupancy
Tl1 Tl 0.242 0.000 0.323 1
Pt1 Pt 0.000 0.000 0.000 1
Cl1 Cl 0.093 0.500 0.720 1
Cl2 Cl 0.109 0.237 0.137 1
Cl3 Cl 0.198 0.000 0.561 1
```

Computed properties:
Raw formation energy ... -6.32 eV/f.u.
Crystal system ... monoclinic

This record from the Alexandria database describes a relaxed structure of CaYRe2. The functional is PBE.

```
data_CaYRe2
_cell_length_a 4.005
_cell_length_b 4.005
_cell_length_c 9.803
_cell_angle_alpha 90.00
_cell_angle_beta 90.00
_cell_angle_gamma 90.00
_symmetry_space_group_name_H-M 'I 4/m m m'
_symmetry_Int_Tables_number 139
_symmetry_space_group_name_Hall '-I 4 2'
loop_
_atom_site_label
_atom_site_type_symbol
_atom_site_fract_x
_atom_site_fract_y
_atom_site_fract_z
_atom_site_occupancy
Ca1 Ca 0.000 0.000 0.000 1
Y1 Y 0.000 0.000 0.500 1
Re1 Re 0.000 0.500 0.250 1
```

Computed properties:
Energy relative to the lowest polymorph listed for this composition ... 0.579 eV/atom
Crystal system ... tetragonal
Formation energy from the elements ... 0.764 eV/atom

This record from the Alexandria database describes a relaxed structure of Rb2Sn2PbSe4. The functional is PBE.

```
data_Rb2Sn2PbSe4
_cell_length_a 18.212
_cell_length_b 4.263
_cell_length_c 8.918
_cell_angle_alpha 90.00
_cell_angle_beta 117.96
_cell_angle_gamma 90.00
_symmetry_space_group_name_H-M 'C 1 2/m 1'
_symmetry_Int_Tables_number 12
loop_
_symmetry_equiv_pos_as_xyz
'x,y,z'
'-x,-y,-z'
'-x,y,-z'
'x,-y,z'
'x+1/2,y+1/2,z'
'-x+1/2,-y+1/2,-z'
'-x+1/2,y+1/2,-z'
'x+1/2,-y+1/2,z'
loop_
_atom_site_label
_atom_site_type_symbol
_atom_site_fract_x
_atom_site_fract_y
_atom_site_fract_z
_atom_site_occupancy
Rb1 Rb 0.117 0.000 0.040 1
Sn1 Sn 0.195 0.500 0.548 1
Pb1 Pb 0.000 0.000 0.500 1
Se1 Se 0.040 0.500 0.289 1
Se2 Se 0.189 0.000 0.749 1
```

Computed properties:
Raw formation energy ... -6.57 eV/f.u.
Crystal system ... monoclinic